(1)
This record from Alexandria describes a relaxed YFe2Rh crystal. The functional is GGA-PBE.

Properties
Calculated volume   67 Å³/cell
Total energy   -7.595 eV per atom
N(E_F)   3.6 states/eV/cell
Space-group type   No. 10

Cell lengths 4.2567, 2.9896, 5.4981 Å; angles 73.38, 90.00, 90.00 degrees
Positions (direct):
Y: 0.5000 0.7500 0.7500
Fe: 0.0000 0.0307 0.0478
Fe: 0.0000 0.4693 0.4522
Rh: 0.5000 0.2500 0.2500

=====

(2)
This record from Alexandria describes a relaxed TbPm12Ho5 crystal. The functional is GGA-PBE.

Properties
Calculated volume   599 Å³/cell
Total energy   -4.615 eV per atom
N(E_F)   25.8 states/eV/cell
Space-group type   No. 12

Cell lengths 12.1323, 10.4819, 5.7717 Å; angles 90.00, 90.00, 54.64 degrees
Positions (direct):
Ho: 0.1351 0.7298 0.5000
Pm: 0.4695 0.3604 0.4978
Pm: 0.9693 0.3606 0.0022
Pm: 0.7981 0.0000 0.5200
Pm: 0.2994 0.0000 0.9802
Ho: 0.5000 0.0000 0.5000
Ho: 0.6349 0.7302 0.0000
Pm: 0.0307 0.6394 0.9978
Pm: 0.8298 0.6396 0.4978
Pm: 0.3299 0.6394 0.0022
Pm: 0.5306 0.6396 0.5022
Pm: 0.1702 0.3604 0.5022
Ho: 0.3651 0.2698 0.0000
Tb: 0.0000 0.0000 0.0000
Pm: 0.2019 0.0000 0.4800
Pm: 0.7006 0.0000 0.0198
Pm: 0.6701 0.3606 0.9978
Ho: 0.8649 0.2702 0.5000